First-principles (PBE-GGA) data for a relaxed SrCaSmBiO6 crystal, as listed in Alexandria.

Cell lengths 5.895, 6.102, 8.493 Å; angles 90.07, 90.15, 90.12 degrees
Fractional coordinates of all 20 atoms:
Sr  0.012  0.448  0.252
Sr  0.988  0.552  0.748
Ca  0.485  0.952  0.248
Ca  0.515  0.048  0.752
Sm  0.000  0.000  0.500
Sm  0.500  0.500  0.000
Bi  0.000  0.000  0.000
Bi  0.500  0.500  0.500
O  0.125  0.961  0.762
O  0.186  0.711  0.060
O  0.203  0.688  0.453
O  0.294  0.189  0.065
O  0.319  0.206  0.431
O  0.398  0.433  0.739
O  0.602  0.567  0.261
O  0.681  0.794  0.569
O  0.706  0.811  0.935
O  0.797  0.312  0.547
O  0.814  0.289  0.940
O  0.875  0.039  0.238

Results
ρ: 6.3 g/cm3
E_form (uncorrected): -2.39 eV/atom
polymorph energy (0 for the lowest one): 0 meV per atom
total energy: -6.5932 eV per atom